[1]
ScMo3 | the Alexandria database | PBE-GGA | relaxed; Fermi-level density of states = 4.6 states/eV per cell; calculated volume = 17.735 A^3/atom; formation enthalpy at 0 K = 419 meV/atom
1.0
-1.037 -2.331 -1.758
1.981 -0.567 2.314
-6.560 -1.113 5.345
Mo Sc
3 1
direct
0.000 0.000 0.022
0.000 0.000 0.478
0.333 0.667 0.250
0.333 0.667 0.750

[2]
KH2Os | the Alexandria database | PBE-GGA | relaxed; ΔE to the lowest computed polymorph = 4.67 eV per formula unit; Fermi-level density of states = 3.5 states/eV per cell; calculated volume = 13.183 A^3/atom
1.0
0.000 2.976 2.976
2.976 0.000 2.976
2.976 2.976 0.000
H K Os
2 1 1
direct
0.250 0.250 0.250
0.750 0.750 0.750
0.000 0.000 0.000
0.500 0.500 0.500

[3]
Zr6Cd2Pb | the Alexandria database | PBE-GGA | relaxed; Fermi-level density of states = 20.6 states/eV per cell; calculated volume = 22.854 A^3/atom; formation enthalpy at 0 K = -85 meV/atom
1.0
4.398 0.000 0.000
0.000 9.670 0.000
0.000 0.000 9.673
Zr Cd Pb
12 4 2
direct
0.000 0.000 0.165
0.000 0.665 0.500
0.000 0.658 0.842
0.500 0.158 0.658
0.500 0.165 0.000
0.500 0.500 0.335
0.000 0.000 0.835
0.000 0.335 0.500
0.000 0.342 0.158
0.500 0.842 0.342
0.500 0.835 0.000
0.500 0.500 0.665
0.000 0.322 0.822
0.500 0.822 0.678
0.500 0.178 0.322
0.000 0.678 0.178
0.500 0.500 0.000
0.000 0.000 0.500

[4]
LiMnAs | the Alexandria database | PBE-GGA | relaxed; ΔE to the lowest computed polymorph = 1.09 eV per formula unit; Fermi-level density of states = 4.0 states/eV per cell; calculated volume = 16.070 A^3/atom; formation enthalpy at 0 K = -99 meV/atom
1.0
-2.073 1.328 -3.238
-0.759 -3.694 1.526
-4.664 2.637 4.068
As Mn Li
2 2 2
direct
0.000 0.000 0.238
0.000 0.000 0.762
0.333 0.667 0.151
0.333 0.667 0.849
0.667 0.333 0.000
0.667 0.333 0.500

[5]
TlAu | the Alexandria database | PBE-GGA | relaxed; Fermi-level density of states = 1.8 states/eV per cell; calculated volume = 24.971 A^3/atom; formation enthalpy at 0 K = 27 meV/atom
1.0
7.128 -0.072 0.119
6.011 3.831 0.119
2.772 0.793 5.451
Au Tl
3 3
direct
0.008 0.008 0.099
0.637 0.637 0.702
0.622 0.622 0.249
0.324 0.324 0.290
0.982 0.982 0.637
0.260 0.260 0.857

[6]
ZnTeMo2 | the Alexandria database | PBE-GGA | relaxed; ΔE to the lowest computed polymorph = 2.11 eV per formula unit; Fermi-level density of states = 4.8 states/eV per cell; formation energy from raw total energies = 0.731 eV per atom; calculated volume = 17.635 A^3/atom
1.0
2.898 0.054 0.000
-0.938 2.742 0.000
0.000 0.000 8.821
Mo Te Zn
2 1 1
direct
0.000 0.000 0.987
0.000 0.000 0.513
0.500 0.500 0.250
0.500 0.500 0.750

[7]
Dy4SbPS2 | the Alexandria database | PBE-GGA | relaxed; Fermi-level density of states = 3.1 states/eV per cell; formation energy from raw total energies = -1.662 eV per atom; calculated volume = 23.704 A^3/atom
1.0
4.057 0.000 0.000
0.000 6.980 -0.112
0.000 2.484 6.657
Dy Sb P S
4 1 1 2
direct
0.000 0.764 0.727
0.000 0.236 0.273
0.500 0.751 0.265
0.500 0.249 0.735
0.500 0.500 0.000
0.000 0.500 0.500
0.000 0.000 0.000
0.500 0.000 0.500

[8]
V2Sn2Rh | the Alexandria database | PBE-GGA | relaxed; ΔE to the lowest computed polymorph = 0.00 eV per formula unit; Fermi-level density of states = 8.3 states/eV per cell; calculated volume = 17.666 A^3/atom; formation enthalpy at 0 K = 183 meV/atom
1.0
-6.441 2.953 0.211
-2.916 -6.241 -1.673
-0.254 -0.797 3.414
Rh Sn V
2 4 4
direct
0.000 0.000 0.000
0.500 0.500 0.000
0.191 0.691 0.500
0.691 0.809 0.500
0.809 0.309 0.500
0.309 0.191 0.500
0.393 0.893 0.000
0.893 0.607 0.000
0.607 0.107 0.000
0.107 0.393 0.000

[9]
Ce2PmPrSb4 | the Alexandria database | PBE-GGA | relaxed; Fermi-level density of states = 13.2 states/eV per cell; formation energy from raw total energies = -1.121 eV per atom; calculated volume = 32.488 A^3/atom
1.0
-0.730 -0.862 4.367
7.702 -0.680 1.154
2.977 6.980 1.877
Ce Pm Pr Sb
2 1 1 4
direct
0.000 0.000 0.000
0.500 0.000 0.500
0.000 0.500 0.500
0.500 0.500 0.000
0.000 0.754 0.747
0.000 0.246 0.253
0.500 0.753 0.251
0.500 0.247 0.749

[10]
AcHoEr2S6 | the Alexandria database | PBE-GGA | relaxed; Fermi-level density of states = 0.0 states/eV per cell; formation energy from raw total energies = -2.077 eV per atom; calculated volume = 26.420 A^3/atom
1.0
7.036 0.000 0.000
3.518 6.093 0.000
3.518 2.031 6.163
Ac Ho Er S
1 1 2 6
direct
0.800 0.801 0.598
0.316 0.316 0.052
0.519 0.519 0.442
0.012 0.012 0.965
0.617 0.231 0.241
0.231 0.911 0.241
0.911 0.617 0.241
0.368 0.728 0.744
0.728 0.159 0.745
0.159 0.369 0.745

[11]
Ho2ZnHg2 | the Alexandria database | PBE-GGA | relaxed; Fermi-level density of states = 7.9 states/eV per cell; calculated volume = 24.043 A^3/atom; formation enthalpy at 0 K = -374 meV/atom
1.0
4.515 0.000 0.000
2.257 5.461 -0.487
2.257 -0.023 9.754
Ho Zn Hg
4 2 4
direct
0.682 0.293 0.344
0.920 0.260 0.899
0.318 0.707 0.656
0.080 0.740 0.101
0.612 0.108 0.667
0.388 0.892 0.333
0.069 0.285 0.577
0.657 0.808 0.878
0.931 0.715 0.423
0.343 0.192 0.122

[12]
YCd2Si | the Alexandria database | PBE-GGA | relaxed; Fermi-level density of states = 2.1 states/eV per cell; formation energy from raw total energies = -0.100 eV per atom; calculated volume = 22.790 A^3/atom
1.0
-1.754 2.754 -1.338
-0.275 -2.290 -2.670
-6.334 -2.623 2.903
Cd Si Y
2 1 1
direct
0.000 0.000 0.021
0.500 0.500 0.273
0.000 0.000 0.486
0.500 0.500 0.721

[13]
Cs2SeO6 | the Alexandria database | PBE-GGA | relaxed; formation energy from raw total energies = -0.319 eV per atom; calculated volume = 17.317 A^3/atom
1.0
-1.196 1.107 3.565
0.109 -6.841 2.161
4.995 4.216 1.183
Cs Se O
2 1 6
direct
0.549 0.679 0.358
0.451 0.321 0.642
0.000 0.000 0.000
0.078 0.283 0.216
0.922 0.067 0.784
0.922 0.717 0.784
0.500 0.177 0.000
0.078 0.933 0.216
0.500 0.823 0.000

[14]
BeTl2Si | the Alexandria database | PBE-GGA | relaxed; ΔE to the lowest computed polymorph = 2.12 eV per formula unit; Fermi-level density of states = 0.8 states/eV per cell; formation energy from raw total energies = 0.765 eV per atom; calculated volume = 21.770 A^3/atom
1.0
-0.563 2.979 2.672
-5.230 0.095 -1.209
-0.713 -2.711 2.873
Be Tl Si
1 2 1
direct
0.500 0.000 0.500
0.000 0.000 0.000
0.500 0.500 0.000
0.000 0.500 0.500

[15]
TbY3Tl | the Alexandria database | PBE-GGA | relaxed; ΔE to the lowest computed polymorph = 0.00 eV per formula unit; Fermi-level density of states = 12.9 states/eV per cell; calculated volume = 29.755 A^3/atom; formation enthalpy at 0 K = -124 meV/atom
1.0
4.726 0.000 1.080
0.000 4.840 0.000
-0.462 0.000 12.902
Tb Y Tl
2 6 2
direct
0.474 0.750 0.700
0.174 0.250 0.300
0.771 0.250 0.106
0.373 0.250 0.902
0.575 0.250 0.499
0.275 0.750 0.098
0.877 0.750 0.894
0.074 0.750 0.501
0.672 0.750 0.305
0.977 0.250 0.695

[16]
ReAg2W | the Alexandria database | PBE-GGA | relaxed; ΔE to the lowest computed polymorph = 1.34 eV per formula unit; Fermi-level density of states = 1.4 states/eV per cell; calculated volume = 16.312 A^3/atom; formation enthalpy at 0 K = 693 meV/atom
1.0
2.667 0.000 0.000
0.000 4.590 0.000
0.000 0.000 5.329
Re Ag W
1 2 1
direct
0.500 0.500 0.250
0.000 0.000 0.000
0.000 0.000 0.500
0.500 0.500 0.750

[17]
Pm5Sm2Dy5 | the Alexandria database | PBE-GGA | relaxed; Fermi-level density of states = 17.3 states/eV per cell; calculated volume = 33.006 A^3/atom; formation enthalpy at 0 K = 16 meV/atom
1.0
4.973 0.000 1.063
2.193 7.508 1.904
0.294 0.625 10.790
Pm Sm Dy
5 2 5
direct
0.500 0.500 0.500
0.334 0.333 0.999
0.415 0.918 0.251
0.585 0.082 0.749
0.666 0.667 0.001
0.917 0.417 0.749
0.083 0.583 0.251
0.832 0.835 0.501
0.250 0.751 0.749
0.750 0.249 0.251
0.168 0.165 0.499
0.000 0.000 0.000

[18]
La2SmHo5 | the Alexandria database | PBE-GGA | relaxed; ΔE to the lowest computed polymorph = 1.16 eV per formula unit; Fermi-level density of states = 24.8 states/eV per cell; calculated volume = 32.834 A^3/atom; formation enthalpy at 0 K = 175 meV/atom
1.0
9.137 0.000 -3.909
-1.023 6.069 -2.392
-0.831 -1.851 10.691
La Sm Ho
4 2 10
direct
0.174 0.456 0.846
0.672 0.956 0.846
0.826 0.544 0.154
0.328 0.044 0.154
0.000 0.000 0.500
0.500 0.500 0.500
0.483 0.449 0.798
0.935 0.750 0.000
0.065 0.250 0.000
0.893 0.635 0.606
0.107 0.365 0.394
0.713 0.135 0.606
0.287 0.865 0.394
0.517 0.551 0.202
0.315 0.949 0.798
0.685 0.051 0.202

[19]
Mn2FeW2 | the Alexandria database | PBE-GGA | relaxed; Fermi-level density of states = 15.1 states/eV per cell; calculated volume = 13.251 A^3/atom; formation enthalpy at 0 K = 318 meV/atom
1.0
-5.342 -1.581 -1.775
-0.883 -2.732 5.093
-1.463 3.263 1.497
Mn Fe W
4 2 4
direct
0.373 0.873 0.000
0.873 0.627 0.000
0.627 0.127 0.000
0.127 0.373 0.000
0.000 0.000 0.000
0.500 0.500 0.000
0.188 0.688 0.500
0.688 0.812 0.500
0.812 0.312 0.500
0.312 0.188 0.500

[20]
KTe2Os | the Alexandria database | PBE-GGA | relaxed; ΔE to the lowest computed polymorph = 2.79 eV per formula unit; Fermi-level density of states = 1.9 states/eV per cell; formation energy from raw total energies = 0.529 eV per atom; calculated volume = 22.813 A^3/atom
1.0
-1.955 0.063 4.660
-4.156 2.709 0.960
-4.381 -2.339 0.934
K Te Os
1 2 1
direct
0.000 0.000 0.000
0.250 0.250 0.250
0.750 0.750 0.750
0.500 0.500 0.500

Uncorrected energy: -9.29, -3.01, -6.40, -5.34, -2.79, -5.79, -6.19, -6.54, -5.86, -6.33, -2.58, -3.53, -4.20, -2.71, -5.40, -7.08, -4.67, -4.51, -10.22, -4.12 (eV/atom)